Version P
A relaxed structure of CoGeSeO, computed with GGA+U.

Properties
Its crystal system is tetragonal.

Cell and atoms, written as CIF:
```
data_CoGeSeO
_space_group_name_H-M_alt 'P 4/n m m'
_space_group_IT_number 129
_cell_length_a 3.451
_cell_length_b 3.451
_cell_length_c 11.219
_cell_angle_alpha 90.00
_cell_angle_beta 90.00
_cell_angle_gamma 90.00
loop_
_space_group_symop_operation_xyz
'x,y,z'
'-x,-y,-z'
'-y+1/2,x,z'
'y+1/2,-x,-z'
'-x+1/2,-y+1/2,z'
'x+1/2,y+1/2,-z'
'y,-x+1/2,z'
'-y,x+1/2,-z'
'x+1/2,-y,-z'
'-x+1/2,y,z'
'-y,-x,-z'
'y,x,z'
'-x,y+1/2,-z'
'x,-y+1/2,z'
'y+1/2,x+1/2,-z'
'-y+1/2,-x+1/2,z'
loop_
_atom_site_label
_atom_site_fract_x
_atom_site_fract_y
_atom_site_fract_z
_atom_site_occupancy
Co1 0.250 0.750 0.000 1
Ge1 0.250 0.250 0.399 1
Se1 0.250 0.250 0.849 1
O1 0.250 0.250 0.565 1
```


Version Q
A relaxed structure of CoGeSeO, computed with GGA+U.

Properties
Its crystal system is orthorhombic.

Cell and atoms, written as CIF:
```
data_CoGeSeO
_space_group_name_H-M_alt 'P c a 21'
_space_group_IT_number 29
_cell_length_a 7.670
_cell_length_b 6.974
_cell_length_c 5.702
_cell_angle_alpha 90.00
_cell_angle_beta 90.00
_cell_angle_gamma 90.00
loop_
_space_group_symop_operation_xyz
'x,y,z'
'-x,-y,z+1/2'
'-x+1/2,y,z+1/2'
'x+1/2,-y,z'
loop_
_atom_site_label
_atom_site_fract_x
_atom_site_fract_y
_atom_site_fract_z
_atom_site_occupancy
Co1 0.090 0.160 0.000 1
Ge1 0.112 0.611 0.904 1
Se1 0.095 0.123 0.577 1
O1 0.024 0.415 0.110 1
```


Version R
A relaxed structure of CoGeSeO, computed with GGA+U.

Properties
Its crystal system is tetragonal.

Cell and atoms, written as CIF:
```
data_CoGeSeO
_space_group_name_H-M_alt 'P 4/n m m'
_space_group_IT_number 129
_cell_length_a 4.608
_cell_length_b 4.608
_cell_length_c 7.095
_cell_angle_alpha 90.00
_cell_angle_beta 90.00
_cell_angle_gamma 90.00
loop_
_space_group_symop_operation_xyz
'x,y,z'
'-x,-y,-z'
'-y+1/2,x,z'
'y+1/2,-x,-z'
'-x+1/2,-y+1/2,z'
'x+1/2,y+1/2,-z'
'y,-x+1/2,z'
'-y,x+1/2,-z'
'x+1/2,-y,-z'
'-x+1/2,y,z'
'-y,-x,-z'
'y,x,z'
'-x,y+1/2,-z'
'x,-y+1/2,z'
'y+1/2,x+1/2,-z'
'-y+1/2,-x+1/2,z'
loop_
_atom_site_label
_atom_site_fract_x
_atom_site_fract_y
_atom_site_fract_z
_atom_site_occupancy
Co1 0.250 0.250 0.134 1
Ge1 0.250 0.250 0.650 1
Se1 0.250 0.750 0.000 1
O1 0.250 0.250 0.409 1
```


Which of them is most stable, and which least? Most stable: version Q; least stable: version R.


Version P
A relaxed structure of CoGeSeO, computed with GGA+U.

Properties
Its crystal system is orthorhombic.

Cell and atoms, written as CIF:
```
data_CoGeSeO
_space_group_name_H-M_alt 'P c a 21'
_space_group_IT_number 29
_cell_length_a 5.991
_cell_length_b 8.030
_cell_length_c 5.757
_cell_angle_alpha 90.00
_cell_angle_beta 90.00
_cell_angle_gamma 90.00
loop_
_space_group_symop_operation_xyz
'x,y,z'
'-x,-y,z+1/2'
'-x+1/2,y,z+1/2'
'x+1/2,-y,z'
loop_
_atom_site_label
_atom_site_fract_x
_atom_site_fract_y
_atom_site_fract_z
_atom_site_occupancy
Co1 0.100 0.064 0.000 1
Ge1 0.056 0.681 0.906 1
Se1 0.019 0.643 0.370 1
O1 0.162 0.979 0.691 1
```


Version Q
A relaxed structure of CoGeSeO, computed with GGA+U.

Properties
Its crystal system is orthorhombic.

Cell and atoms, written as CIF:
```
data_CoGeSeO
_space_group_name_H-M_alt 'P b c a'
_space_group_IT_number 61
_cell_length_a 6.406
_cell_length_b 6.606
_cell_length_c 12.606
_cell_angle_alpha 90.00
_cell_angle_beta 90.00
_cell_angle_gamma 90.00
loop_
_space_group_symop_operation_xyz
'x,y,z'
'-x,-y,-z'
'-x+1/2,-y,z+1/2'
'x+1/2,y,-z+1/2'
'x+1/2,-y+1/2,-z'
'-x+1/2,y+1/2,z'
'-x,y+1/2,-z+1/2'
'x,-y+1/2,z+1/2'
loop_
_atom_site_label
_atom_site_fract_x
_atom_site_fract_y
_atom_site_fract_z
_atom_site_occupancy
Co1 0.115 0.118 0.232 1
Ge1 0.149 0.224 0.918 1
Se1 0.246 0.010 0.562 1
O1 0.142 0.700 0.792 1
```


Which of them is most stable, and which least? Most stable: version P; least stable: version Q.